## Nd2Hg4Pb (PBE)

Data for a relaxed structure of Nd2Hg4Pb.

**Energy of formation**: -8.1 kcal/mol of atoms
**Relative energy among the computed polymorphs**: 0.00 kcal/mol of atoms
**Raw total energy**: -2.418 eV per atom

Cell lengths 8.4915, 8.4915, 8.4915 Å; angles 36.20, 36.20, 36.20 degrees
Fractional coordinates of all 7 atoms:
Nd: 0.2269 0.2269 0.2269
Nd: 0.7731 0.7731 0.7731
Hg: 0.0681 0.0681 0.0681
Hg: 0.3633 0.3633 0.3633
Hg: 0.6367 0.6367 0.6367
Hg: 0.9319 0.9319 0.9319
Pb: 0.5000 0.5000 0.5000



## TcTe3 (PBE)

Data for a relaxed structure of TcTe3.

**Formation energy from raw total energies**: 84 meV per atom
**Relative energy among the computed polymorphs**: 1.24 kcal/mol of atoms
**Raw total energy**: -4.864 eV per atom

Cell lengths 6.3781, 10.9982, 6.1357 Å; angles 90.00, 90.00, 90.00 degrees
Fractional coordinates of all 16 atoms:
Tc: 0.0500 0.2500 0.0522
Tc: 0.4500 0.7500 0.5522
Tc: 0.5500 0.2500 0.4478
Tc: 0.9500 0.7500 0.9478
Te: 0.0760 0.7500 0.3506
Te: 0.2311 0.0973 0.3539
Te: 0.2311 0.4027 0.3539
Te: 0.2689 0.5973 0.8539
Te: 0.2689 0.9027 0.8539
Te: 0.4240 0.2500 0.8506
Te: 0.5760 0.7500 0.1494
Te: 0.7311 0.0973 0.1461
Te: 0.7311 0.4027 0.1461
Te: 0.7689 0.5973 0.6461
Te: 0.7689 0.9027 0.6461
Te: 0.9240 0.2500 0.6494



Look up the raw total energy of the first one. -2.418 eV per atom



What is the raw total energy in the second record? -4.864 eV per atom